Material: NbTlZn2
Method: DFT, PBE-GGA
State: relaxed

Output
The calculation puts the energy above the most stable polymorph in this dataset at 56.0 meV/atom. Its space group is Fm-3m (225). The value obtained for the formation energy from the elements is 49.0 kJ/mol of atoms.

Cell: 4.7142 4.7142 4.7142 Å, 60.00 60.00 60.00°
Each line ends with the local moment (μB).
Atoms (fractional coordinates):
Zn (0.2500, 0.2500, 0.2500)  0.02
Zn (0.7500, 0.7500, 0.7500)  0.02
Nb (0.0000, 0.0000, 0.0000)  1.61
Tl (0.5000, 0.5000, 0.5000)  0.01

=====

Material: LiLa2PtO5
Method: DFT, PBE-GGA
State: relaxed

Output
Its space group is P4/mbm (127). The calculation puts the formation energy from raw total energies at -1911.2 kJ/mol of formula units.

Cell: 5.8296 6.9649 6.9649 Å, 90.00 90.00 90.00°
Each line ends with the local moment (μB).
Atoms (fractional coordinates):
La (0.5000, 0.6801, 0.1801)  0.00
La (0.5000, 0.8199, 0.6801)  0.00
La (0.5000, 0.3199, 0.8199)  0.00
La (0.5000, 0.1801, 0.3199)  0.00
O (0.2484, 0.3639, 0.1361)  0.10
O (0.7516, 0.1361, 0.6361)  0.10
O (0.2484, 0.1361, 0.6361)  0.10
O (0.7516, 0.3639, 0.1361)  0.10
O (0.5000, 0.5000, 0.5000)  0.09
O (0.7516, 0.6361, 0.8639)  0.10
O (0.7516, 0.8639, 0.3639)  0.10
O (0.2484, 0.6361, 0.8639)  0.10
O (0.5000, 0.0000, 0.0000)  0.09
O (0.2484, 0.8639, 0.3639)  0.10
Pt (0.0000, 0.5000, 0.0000)  0.45
Pt (0.0000, 0.0000, 0.5000)  0.45
Li (0.0000, 0.5000, 0.5000)  0.00
Li (0.0000, 0.0000, 0.0000)  0.00

=====

Material: Rb4La3PtO8
Method: DFT, PBE-GGA
State: relaxed

Output
Its space group is C2/m (12). The calculation puts the formation energy from raw total energies at -3236.2 kJ/mol of formula units.

Cell: 7.0536 7.5563 7.5882 Å, 114.35 117.70 90.00°
Each line ends with the local moment (μB).
Atoms (fractional coordinates):
O (0.7112, 0.2721, 0.4224)  0.01
O (0.7579, 0.6546, 0.9395)  0.11
O (0.2934, 0.3217, 0.5868)  0.00
O (0.2421, 0.3454, 0.0605)  0.11
O (0.8184, 0.3454, 0.0605)  0.11
O (0.2888, 0.7279, 0.5776)  0.01
O (0.7066, 0.6783, 0.4132)  0.00
O (0.1816, 0.6546, 0.9395)  0.11
Rb (0.0000, 0.0000, 0.5000)  0.00
Rb (0.0000, 0.0000, 0.0000)  0.01
Rb (0.5000, 0.0000, 0.5000)  0.00
Rb (0.5000, 0.0000, 0.0000)  0.00
La (0.5000, 0.5000, 0.5000)  0.00
La (0.5000, 0.5000, 0.0000)  0.01
La (0.0000, 0.5000, 0.5000)  0.00
Pt (0.0000, 0.5000, 0.0000)  0.54

=====

Material: Ho3Tm3Cd2
Method: DFT, PBE-GGA
State: relaxed

Output
Its space group is Cmcm (63). The value obtained for the formation energy from the elements is -4.9 kJ/mol of atoms.

Cell: 5.1482 6.3041 15.6438 Å, 90.00 90.00 114.10°
Atoms (fractional coordinates):
Ho (0.0423, 0.0846, 0.6045)
Ho (0.7370, 0.4740, 0.2500)
Ho (0.9577, 0.9154, 0.3955)
Ho (0.9577, 0.9154, 0.1045)
Ho (0.0423, 0.0846, 0.8955)
Ho (0.2630, 0.5260, 0.7500)
Tm (0.3552, 0.7104, 0.9658)
Tm (0.4532, 0.9064, 0.2500)
Tm (0.5468, 0.0936, 0.7500)
Tm (0.3552, 0.7104, 0.5342)
Tm (0.6448, 0.2896, 0.4658)
Tm (0.6448, 0.2896, 0.0342)
Cd (0.7701, 0.5402, 0.8639)
Cd (0.2299, 0.4598, 0.3639)
Cd (0.7701, 0.5402, 0.6361)
Cd (0.2299, 0.4598, 0.1361)

=====

Material: CsSr2MgCd
Method: DFT, PBE-GGA
State: relaxed

Output
Its space group is P4/mmm (123). The value obtained for the formation energy from the elements is 89.3 kJ/mol of atoms.

Cell: 7.8586 6.6870 7.8586 Å, 90.00 90.00 90.00°
Atoms (fractional coordinates):
Mg (0.0000, 0.5000, 0.0000)
Cd (0.5000, 0.5000, 0.5000)
Sr (0.5000, 0.0000, 0.0000)
Sr (0.0000, 0.0000, 0.5000)
Cs (0.0000, 0.0000, 0.0000)

=====

Material: Cs2Cd4In3Pb
Method: DFT, PBE-GGA
State: relaxed

Output
Its space group is P-4m2 (115). The value obtained for the formation energy from the elements is -5.9 kJ/mol of atoms.

Cell: 5.1366 5.1366 12.7617 Å, 90.00 90.00 90.00°
Atoms (fractional coordinates):
Cd (0.5000, 0.0000, 0.6399)
Cd (0.0000, 0.5000, 0.3601)
Cd (0.0000, 0.0000, 0.0000)
Cd (0.5000, 0.5000, 0.0000)
In (0.5000, 0.0000, 0.8774)
In (0.0000, 0.0000, 0.5000)
In (0.0000, 0.5000, 0.1226)
Cs (0.0000, 0.5000, 0.7541)
Cs (0.5000, 0.0000, 0.2459)
Pb (0.5000, 0.5000, 0.5000)

=====

Q: Which formula does entry 4 have?
A: Ho3Tm3Cd2